[1]
Density functional theory data (PBE) for MgHgAsO after structural relaxation.

Output
The calculation puts the relative energy among the computed polymorphs at 0.881 eV/atom. As for the space group: P4/nmm, No. 129.

Lattice parameters (Å, degrees): 4.397 4.397 8.417 90.00 90.00 90.00
Positions (direct):
Mg (0.250, 0.750, 0.000)
Mg (0.750, 0.250, 0.000)
Hg (0.250, 0.250, 0.417)
Hg (0.750, 0.750, 0.583)
As (0.250, 0.250, 0.822)
As (0.750, 0.750, 0.178)
O (0.250, 0.750, 0.500)
O (0.750, 0.250, 0.500)

[2]
Density functional theory data (PBE) for CsLiOs after structural relaxation.

Output
The calculation puts the relative energy among the computed polymorphs at 0.321 eV/atom. As for the space group: F-43m, No. 216.

Lattice parameters (Å, degrees): 7.179 7.179 7.179 90.00 90.00 90.00
Positions (direct):
Cs (0.000, 0.000, 0.000)
Cs (0.000, 0.500, 0.500)
Cs (0.500, 0.000, 0.500)
Cs (0.500, 0.500, 0.000)
Li (0.250, 0.250, 0.750)
Li (0.250, 0.750, 0.250)
Li (0.750, 0.250, 0.250)
Li (0.750, 0.750, 0.750)
Os (0.250, 0.250, 0.250)
Os (0.250, 0.750, 0.750)
Os (0.750, 0.250, 0.750)
Os (0.750, 0.750, 0.250)

[3]
Density functional theory data (PBE) for NdSmCl2O2 after structural relaxation.

Output
Its total energy is -6.890 eV/atom. As for the space group: P4mm, No. 99.

Lattice parameters (Å, degrees): 4.021 4.021 6.751 90.00 90.00 90.00
Positions (direct):
Nd (0.000, 0.000, 0.000)
Sm (0.500, 0.500, 0.347)
Cl (0.000, 0.000, 0.547)
Cl (0.500, 0.500, 0.802)
O (0.000, 0.500, 0.178)
O (0.500, 0.000, 0.178)

[4]
Density functional theory data (PBE) for CdCuPdPb after structural relaxation.

Output
The calculation puts the relative energy among the computed polymorphs at 0.000 eV/atom. As for the space group: F-43m, No. 216.

Lattice parameters (Å, degrees): 6.698 6.698 6.698 90.00 90.00 90.00
Positions (direct):
Cd (0.000, 0.000, 0.000)
Cd (0.000, 0.500, 0.500)
Cd (0.500, 0.000, 0.500)
Cd (0.500, 0.500, 0.000)
Cu (0.250, 0.250, 0.750)
Cu (0.250, 0.750, 0.250)
Cu (0.750, 0.250, 0.250)
Cu (0.750, 0.750, 0.750)
Pd (0.250, 0.250, 0.250)
Pd (0.250, 0.750, 0.750)
Pd (0.750, 0.250, 0.750)
Pd (0.750, 0.750, 0.250)
Pb (0.000, 0.000, 0.500)
Pb (0.000, 0.500, 0.000)
Pb (0.500, 0.000, 0.000)
Pb (0.500, 0.500, 0.500)

[5]
Density functional theory data (PBE) for LiTa2Pd after structural relaxation.

Output
Its total energy is -7.402 eV/atom. As for the space group: F-43m, No. 216.

Lattice parameters (Å, degrees): 6.402 6.402 6.402 90.00 90.00 90.00
Positions (direct):
Li (0.000, 0.000, 0.000)
Li (0.000, 0.500, 0.500)
Li (0.500, 0.000, 0.500)
Li (0.500, 0.500, 0.000)
Ta (0.000, 0.000, 0.500)
Ta (0.000, 0.500, 0.000)
Ta (0.250, 0.250, 0.750)
Ta (0.250, 0.750, 0.250)
Ta (0.500, 0.000, 0.000)
Ta (0.500, 0.500, 0.500)
Ta (0.750, 0.250, 0.250)
Ta (0.750, 0.750, 0.750)
Pd (0.250, 0.250, 0.250)
Pd (0.250, 0.750, 0.750)
Pd (0.750, 0.250, 0.750)
Pd (0.750, 0.750, 0.250)

[6]
Density functional theory data (PBE) for ErTlAsO after structural relaxation.

Output
The calculation puts the relative energy among the computed polymorphs at 0.341 eV/atom. As for the space group: P4/nmm, No. 129.

Lattice parameters (Å, degrees): 5.765 5.765 5.082 90.00 90.00 90.00
Positions (direct):
Er (0.250, 0.750, 0.000)
Er (0.750, 0.250, 0.000)
Tl (0.250, 0.250, 0.489)
Tl (0.750, 0.750, 0.511)
As (0.250, 0.250, 0.988)
As (0.750, 0.750, 0.012)
O (0.250, 0.750, 0.500)
O (0.750, 0.250, 0.500)

[7]
Density functional theory data (PBE) for HfBeOsPb after structural relaxation.

Output
The calculation puts the relative energy among the computed polymorphs at 0.161 eV/atom. As for the space group: F-43m, No. 216.

Lattice parameters (Å, degrees): 6.475 6.475 6.475 90.00 90.00 90.00
Positions (direct):
Hf (0.000, 0.000, 0.000)
Hf (0.000, 0.500, 0.500)
Hf (0.500, 0.000, 0.500)
Hf (0.500, 0.500, 0.000)
Be (0.250, 0.250, 0.750)
Be (0.250, 0.750, 0.250)
Be (0.750, 0.250, 0.250)
Be (0.750, 0.750, 0.750)
Os (0.000, 0.000, 0.500)
Os (0.000, 0.500, 0.000)
Os (0.500, 0.000, 0.000)
Os (0.500, 0.500, 0.500)
Pb (0.250, 0.250, 0.250)
Pb (0.250, 0.750, 0.750)
Pb (0.750, 0.250, 0.750)
Pb (0.750, 0.750, 0.250)

[8]
Density functional theory data (PBE) for SrNbNO2 after structural relaxation.

Output
Its total energy is -8.216 eV/atom. As for the space group: Ima2, No. 46.

Lattice parameters (Å, degrees): 5.747 5.747 5.747 90.64 119.85 119.40
Positions (direct):
Sr (0.000, 0.000, 0.000)
Sr (0.000, 0.500, 0.500)
Nb (0.488, 0.250, 0.738)
Nb (0.512, 0.750, 0.262)
N (0.534, 0.500, 0.533)
N (0.967, 0.000, 0.467)
O (0.374, 0.915, 0.959)
O (0.457, 0.457, 0.000)
O (0.457, 0.957, 0.500)
O (0.956, 0.415, 0.041)

no.,calculated density (g/cm3)
1,6.4
2,5.9
3,6.0
4,10.8
5,12.0
6,9.1
7,14.3
8,5.6